VASP calculation (PBE) on Zn4Cu15Ge after structural relaxation.

abc: 3.6849 3.6849 18.4188
angles: 90.00 90.00 90.00
Element x y z (fractional)
Cu  0.0000  0.5000  0.8994
Cu  0.5000  0.0000  0.8994
Cu  0.5000  0.0000  0.6994
Cu  0.5000  0.0000  0.1006
Cu  0.0000  0.5000  0.3006
Cu  0.5000  0.0000  0.3006
Ge  0.0000  0.0000  0.0000
Cu  0.0000  0.5000  0.5000
Cu  0.5000  0.5000  0.5996
Cu  0.5000  0.5000  0.0000
Cu  0.5000  0.0000  0.5000
Zn  0.0000  0.0000  0.4005
Cu  0.5000  0.5000  0.4004
Zn  0.0000  0.0000  0.2011
Cu  0.5000  0.5000  0.7997
Cu  0.5000  0.5000  0.2003
Zn  0.0000  0.0000  0.5995
Cu  0.0000  0.5000  0.6994
Cu  0.0000  0.5000  0.1006
Zn  0.0000  0.0000  0.7989

Properties
Its total magnetization is 0.00 μB/f.u. As for the symmetry: P4/mmm. The calculation puts the total energy at -3.616 eV/atom. For the energy relative to the elements, the calculation gives -0.0581 eV/atom.